1.
Material: MoPAuCl2
Method: DFT, GGA-PBEsol
State: optimized geometry

The structure in POSCAR format:
```
MoPAuCl2
1.0
-3.009 1.769 2.897
1.143 -3.117 3.091
3.474 3.022 1.763
Cl P Au Mo
2 1 1 1
Cartesian
0.571 -1.559 1.545
-1.504 0.885 1.449
1.737 1.511 0.882
0.804 0.837 3.876
0.000 0.000 0.000
```

Values from the calculation:
The volume comes out at 101.5 Å³/cell. The value obtained for the total energy is -4.768 eV per atom. The uncorrected formation energy is 0.3316 eV/atom. As for the space-group type: No. 123.

2.
Material: Au2NCl
Method: DFT, GGA-PBEsol
State: optimized geometry

The structure in POSCAR format:
```
Au2NCl
1.0
4.425 0.000 0.000
2.212 3.832 0.000
2.212 1.277 3.613
Au Cl N
2 1 1
Cartesian
6.637 3.832 2.709
2.212 1.277 0.903
4.425 2.555 1.806
0.000 0.000 0.000
```

Values from the calculation:
The volume comes out at 61.2 Å³/cell. The value obtained for the total energy is -3.180 eV per atom. The uncorrected formation energy is 1.4160 eV/atom. As for the space-group type: No. 225.

3.
Material: AuN2Cl
Method: DFT, GGA-PBEsol
State: optimized geometry

The structure in POSCAR format:
```
AuN2Cl
1.0
-2.645 -2.917 0.837
0.245 -3.544 -1.894
1.188 -3.279 2.011
Au N Cl
1 2 1
Cartesian
-0.606 -4.869 0.477
-0.909 -7.304 0.715
-0.303 -2.435 0.238
0.000 0.000 0.000
```

Values from the calculation:
The volume comes out at 46.1 Å³/cell. The value obtained for the total energy is -3.287 eV per atom. The uncorrected formation energy is 2.4597 eV/atom. As for the space-group type: No. 225.

4.
Material: AuSN2Cl
Method: DFT, GGA-PBEsol
State: optimized geometry

The structure in POSCAR format:
```
AuSN2Cl
1.0
-3.421 0.250 0.660
0.254 -2.614 2.303
1.242 4.341 4.791
Au N S Cl
1 2 1 1
Cartesian
-0.963 0.988 3.877
-1.711 0.125 0.330
0.127 -1.307 1.152
0.621 2.171 2.395
0.000 0.000 0.000
```

Values from the calculation:
The volume comes out at 80.3 Å³/cell. The value obtained for the total energy is -3.454 eV per atom. The uncorrected formation energy is 2.0197 eV/atom. As for the space-group type: No. 123.

5.
Material: AuS2NCl
Method: DFT, GGA-PBEsol
State: optimized geometry

The structure in POSCAR format:
```
AuS2NCl
1.0
3.756 0.000 0.000
0.000 3.756 0.000
0.000 0.000 6.458
S Cl N Au
2 1 1 1
Cartesian
1.878 0.000 0.000
0.000 1.878 0.000
0.000 0.000 3.229
0.000 0.000 0.000
1.878 1.878 3.229
```

Values from the calculation:
The volume comes out at 91.1 Å³/cell. The value obtained for the total energy is -3.692 eV per atom. The uncorrected formation energy is 0.9537 eV/atom. As for the space-group type: No. 123.

6.
Material: Na3AuCl
Method: DFT, GGA-PBEsol
State: optimized geometry

The structure in POSCAR format:
```
Na3AuCl
1.0
-0.983 -5.253 -1.220
2.365 -1.534 4.702
-4.847 0.317 2.541
Na Au Cl
3 1 1
Cartesian
-0.491 -2.627 -0.610
-2.424 0.158 1.271
1.182 -0.767 2.351
0.000 0.000 0.000
-1.733 -3.235 3.012
```

Values from the calculation:
The volume comes out at 164.7 Å³/cell. The value obtained for the total energy is -2.395 eV per atom. The uncorrected formation energy is -0.3690 eV/atom. As for the space-group type: No. 221.

no.,DOS at the Fermi energy (states/eV/atom)
1,0.752
2,0.197
3,1.108
4,0.756
5,0.553
6,0.561